No. 1
Computed, not measured: SrYZn2 after structural relaxation at the PBE level of DFT.

Summary:
Electronic total energy (eV/atom): -2.787
Crystal system: orthorhombic

```
SrYZn2
1.0
6.2435 -0.0015 -0.0014
2.9987 5.4762 0.0014
-4.0264 -3.7413 2.9617
Sr Zn Y
1 2 1
direct
0.4801 0.4801 0.0000
0.2099 0.7099 0.5000
0.0293 0.0293 0.0000
0.7807 0.2807 0.5000
```

No. 2
Computed, not measured: SrYZn2 after structural relaxation at the PBE level of DFT.

Summary:
Electronic total energy (eV/atom): -2.719
Crystal system: trigonal

```
SrYZn2
1.0
8.8062 0.0064 0.0039
7.8929 3.9054 0.0039
7.8929 1.8489 3.4400
Zn Y Sr
2 1 1
direct
0.0085 0.0085 0.0085
0.4915 0.4915 0.4915
0.7500 0.7500 0.7500
0.2500 0.2500 0.2500
```

No. 3
Computed, not measured: Sr2YZn2 after structural relaxation at the PBE level of DFT.

Summary:
Crystal system: tetragonal
Distance to the lowest polymorph of the same formula (eV per formula unit): 0.00

```
Sr2YZn2
1.0
-0.4146 0.2620 -7.6899
7.6357 -0.9356 -0.4435
-0.6508 -5.2431 -0.1435
Zn Y Sr
4 2 4
direct
0.3811 0.8811 0.0000
0.6189 0.1189 0.0000
0.8811 0.6189 0.0000
0.1189 0.3811 0.0000
0.5000 0.5000 0.0000
0.0000 0.0000 0.0000
0.1772 0.6772 0.5000
0.6772 0.8228 0.5000
0.3228 0.1772 0.5000
0.8228 0.3228 0.5000
```

No. 4
Computed, not measured: SrYZn4 after structural relaxation at the PBE level of DFT.

Summary:
Crystal system: orthorhombic
Distance to the lowest polymorph of the same formula (eV per formula unit): 0.00

```
SrYZn4
1.0
-1.5284 -3.2850 -0.8684
4.1022 -1.8413 -0.2535
-0.3668 -1.8903 7.7966
Sr Zn Y
1 4 1
direct
0.9985 0.9972 0.4982
0.4986 0.9973 0.8413
0.4986 0.4973 0.6760
0.4986 0.4974 0.3202
0.4987 0.9974 0.1550
0.9985 0.4971 0.9981
```

No. 5
Computed, not measured: Sr2YZn after structural relaxation at the PBE level of DFT.

Summary:
Electronic total energy (eV/atom): -2.556
Crystal system: tetragonal

```
Sr2YZn
1.0
-5.2778 0.8254 3.6926
1.2227 -0.5860 6.3508
2.7111 3.3909 -4.8293
Y Sr Zn
1 2 1
direct
0.2500 0.7500 0.5000
0.5000 0.5000 0.0000
0.0000 0.0000 0.0000
0.7500 0.2500 0.5000
```

No. 6
Computed, not measured: SrYZn2 after structural relaxation at the PBE level of DFT.

Summary:
Electronic total energy (eV/atom): -2.547
Crystal system: tetragonal

```
SrYZn2
1.0
8.0846 0.0000 0.0000
0.0000 8.0846 0.0000
4.0423 4.0423 3.7406
Sr Zn Y
2 4 2
direct
0.5000 0.5000 0.0000
0.2500 0.7500 0.5000
0.6520 0.1250 0.2500
0.8750 0.9020 0.7500
0.0980 0.6250 0.2500
0.3750 0.3480 0.7500
0.7500 0.2500 0.5000
0.0000 0.0000 0.0000
```